(1)
# LaCuN3 | Alexandria | meta-GGA SCAN | PBEsol geometry
# formation energy without anion corrections = 9.15 eV/f.u.
data_LaCuN3
_cell_length_a 4.265
_cell_length_b 4.265
_cell_length_c 4.265
_cell_angle_alpha 90.00
_cell_angle_beta 90.00
_cell_angle_gamma 90.00
_symmetry_space_group_name_H-M 'P 1'
_symmetry_Int_Tables_number 1
_symmetry_space_group_name_Hall 'P 1'
loop_
_atom_site_label
_atom_site_type_symbol
_atom_site_fract_x
_atom_site_fract_y
_atom_site_fract_z
La1 La 0.000 0.000 0.000
Cu1 Cu 0.500 0.500 0.500
N1 N 0.000 0.000 0.500
N2 N 0.000 0.500 0.000
N3 N 0.500 0.000 0.000

(2)
# Li2ZnAs | Alexandria | meta-GGA SCAN | PBEsol geometry
# calculated formation energy = -0.30 eV per atom
data_Li2ZnAs
_cell_length_a 4.456
_cell_length_b 4.456
_cell_length_c 4.456
_cell_angle_alpha 60.00
_cell_angle_beta 60.00
_cell_angle_gamma 60.00
_symmetry_space_group_name_H-M 'P 1'
_symmetry_Int_Tables_number 1
_symmetry_space_group_name_Hall 'P 1'
loop_
_atom_site_label
_atom_site_type_symbol
_atom_site_fract_x
_atom_site_fract_y
_atom_site_fract_z
Li1 Li 0.000 0.000 0.000
Li2 Li 0.250 0.250 0.250
Zn1 Zn 0.500 0.500 0.500
As1 As 0.750 0.750 0.750

(3)
# YHfZrSn2 | Alexandria | meta-GGA SCAN | PBEsol geometry
# calculated formation energy = 0.69 eV per atom
data_YHfZrSn2
_cell_length_a 5.317
_cell_length_b 5.317
_cell_length_c 5.153
_cell_angle_alpha 90.00
_cell_angle_beta 90.00
_cell_angle_gamma 90.00
_symmetry_space_group_name_H-M 'P 1'
_symmetry_Int_Tables_number 1
_symmetry_space_group_name_Hall 'P 1'
loop_
_atom_site_label
_atom_site_type_symbol
_atom_site_fract_x
_atom_site_fract_y
_atom_site_fract_z
Y1 Y 0.000 0.000 0.000
Hf1 Hf 0.000 0.000 0.500
Zr1 Zr 0.500 0.500 0.000
Sn1 Sn 0.000 0.500 0.500
Sn2 Sn 0.500 0.000 0.500

(4)
Below is a crystal of Y2SbH2 relaxed with PBEsol, with properties calculated at the meta-GGA SCAN level.

```
data_Y2SbH2
_cell_length_a 6.349
_cell_length_b 6.349
_cell_length_c 6.349
_cell_angle_alpha 144.98
_cell_angle_beta 144.98
_cell_angle_gamma 50.37
_symmetry_space_group_name_H-M 'P 1'
_symmetry_Int_Tables_number 1
_symmetry_space_group_name_Hall 'P 1'
loop_
_atom_site_label
_atom_site_type_symbol
_atom_site_fract_x
_atom_site_fract_y
_atom_site_fract_z
Y1 Y 0.145 0.145 0.000
Y2 Y 0.855 0.855 0.000
Sb1 Sb 0.500 0.500 0.000
H1 H 0.250 0.750 0.500
H2 H 0.750 0.250 0.500
```

(5)
# MnAlSe2N | Alexandria | meta-GGA SCAN | PBEsol geometry
# formation energy without anion corrections = 0.29 eV/f.u.
data_MnAlSe2N
_cell_length_a 4.869
_cell_length_b 4.869
_cell_length_c 3.423
_cell_angle_alpha 90.00
_cell_angle_beta 90.00
_cell_angle_gamma 90.00
_symmetry_space_group_name_H-M 'P 1'
_symmetry_Int_Tables_number 1
_symmetry_space_group_name_Hall 'P 1'
loop_
_atom_site_label
_atom_site_type_symbol
_atom_site_fract_x
_atom_site_fract_y
_atom_site_fract_z
Mn1 Mn 0.000 0.000 0.000
Al1 Al 0.500 0.500 0.500
Se1 Se 0.000 0.500 0.000
Se2 Se 0.500 0.000 0.000
N1 N 0.000 0.000 0.500

(6)
# MgZn3Cu | Alexandria | meta-GGA SCAN | PBEsol geometry
# calculated formation energy = -0.11 eV per atom
data_MgZn3Cu
_cell_length_a 6.598
_cell_length_b 6.598
_cell_length_c 4.848
_cell_angle_alpha 90.00
_cell_angle_beta 90.00
_cell_angle_gamma 134.12
_symmetry_space_group_name_H-M 'P 1'
_symmetry_Int_Tables_number 1
_symmetry_space_group_name_Hall 'P 1'
loop_
_atom_site_label
_atom_site_type_symbol
_atom_site_fract_x
_atom_site_fract_y
_atom_site_fract_z
Mg1 Mg 0.080 0.920 0.750
Mg2 Mg 0.920 0.080 0.250
Zn1 Zn 0.101 0.397 0.750
Zn2 Zn 0.323 0.677 0.250
Zn3 Zn 0.397 0.101 0.250
Zn4 Zn 0.603 0.899 0.750
Zn5 Zn 0.677 0.323 0.750
Zn6 Zn 0.899 0.603 0.250
Cu1 Cu 0.500 0.500 0.000
Cu2 Cu 0.500 0.500 0.500

no.,VASP energy (eV/atom)
1,-15.4056
2,-9.9180
3,-37.9216
4,-20.8888
5,-15.0334
6,-12.2513